# Ac5La3H12, relaxed, DFT PBE-GGA
# DFT total energy   -0.30669 Ry/atom
data_Ac5La3H12
_chemical_formula_sum 'Ac40 La24 H96'
_cell_length_a 14.3721
_cell_length_b 14.3721
_cell_length_c 14.3721
_cell_angle_alpha 90.00
_cell_angle_beta 90.00
_cell_angle_gamma 90.00
_symmetry_space_group_name_H-M 'I a -3 d'
_symmetry_Int_Tables_number 230
_symmetry_space_group_name_Hall '-I 4bd 2c 3'
loop_
_atom_site_label
_atom_site_fract_x
_atom_site_fract_y
_atom_site_fract_z
Ac1 0.0000 0.0000 0.0000
Ac2 0.0000 0.2500 0.3750
La1 0.0000 0.2500 0.1250
H1 0.0017 0.0746 0.1573

# ZrScPbBr, relaxed, DFT PBE-GGA
# DFT total energy   -0.40357 Ry/atom
# Polymorph energy (0 for the lowest one)   0.089 eV per atom
# E_form (uncorrected)   -0.4256 eV per atom
data_ZrScPbBr
_chemical_formula_sum 'Zr2 Sc2 Pb2 Br2'
_cell_length_a 11.3205
_cell_length_b 3.3494
_cell_length_c 5.0900
_cell_angle_alpha 90.00
_cell_angle_beta 90.77
_cell_angle_gamma 90.00
_symmetry_space_group_name_H-M 'C 1 m 1'
_symmetry_Int_Tables_number 8
_symmetry_space_group_name_Hall 'C -2y'
loop_
_atom_site_label
_atom_site_fract_x
_atom_site_fract_y
_atom_site_fract_z
Zr1 0.0000 0.0000 0.0000
Sc1 0.3356 0.0000 0.5119
Pb1 0.0961 0.5000 0.5027
Br1 0.3015 0.0000 0.0113

# ZrAs2Cl, relaxed, DFT PBE-GGA
# DFT total energy   -0.40781 Ry/atom
# Polymorph energy (0 for the lowest one)   0.107 eV per atom
# E_form (uncorrected)   -0.6251 eV per atom
data_ZrAs2Cl
_chemical_formula_sum 'Zr1 As2 Cl1'
_cell_length_a 3.6002
_cell_length_b 3.7091
_cell_length_c 6.2980
_cell_angle_alpha 90.00
_cell_angle_beta 90.00
_cell_angle_gamma 90.00
_symmetry_space_group_name_H-M 'P m m m'
_symmetry_Int_Tables_number 47
_symmetry_space_group_name_Hall '-P 2 2'
loop_
_atom_site_label
_atom_site_fract_x
_atom_site_fract_y
_atom_site_fract_z
Zr1 0.0000 0.0000 0.0000
As1 0.5000 0.5000 0.1986
Cl1 0.0000 0.0000 0.5000

# Rb6Cl2O, relaxed, DFT PBE-GGA
# DFT total energy   -0.20285 Ry/atom
# E_form (uncorrected)   -1.1535 eV per atom
data_Rb6Cl2O
_chemical_formula_sum 'Rb12 Cl4 O2'
_cell_length_a 17.1214
_cell_length_b 4.4794
_cell_length_c 12.9286
_cell_angle_alpha 90.00
_cell_angle_beta 114.80
_cell_angle_gamma 90.00
_symmetry_space_group_name_H-M 'C 1 2/m 1'
_symmetry_Int_Tables_number 12
_symmetry_space_group_name_Hall '-C 2y'
loop_
_atom_site_label
_atom_site_fract_x
_atom_site_fract_y
_atom_site_fract_z
Rb1 0.0191 0.0000 0.2196
Rb2 0.1191 0.5000 0.0532
Rb3 0.1710 0.5000 0.5903
Cl1 0.1752 0.5000 0.3363
O1 0.0000 0.0000 0.0000

Question: What is the DFT total energy in the second record?
Answer: -0.40357 Ry/atom

Question: Among the records above, which one has the highest DFT total energy?
Answer: Rb6Cl2O

Question: What is the DFT total energy in the second record?
Answer: -0.40357 Ry/atom